Record 1
VASP calculation (PBE) on a geometry-optimized Ca2PrS3 structure.

size of the total moment	0.00	μB/cell
volume	23.7	Å³ per atom
calculated total energy	-33.591	eV per cell
Fermi-level density of states	1.8	states/eV/f.u.
formation energy (no corrections)	-2071	meV per atom

Cell and atoms, written as POSCAR:
```
Ca2PrS3
1.0
-2.0193 2.8779 6.1087
2.0193 -2.8779 6.1087
2.0193 2.8779 -6.1087
Ca Pr S
2 1 3
Cartesian
0.0000 0.0000 2.0446
0.0000 0.0000 10.1728
0.0000 0.0000 6.1087
2.0193 0.0000 0.0000
2.0193 0.0000 4.0232
0.0000 2.8779 2.0855
```

---

Record 2
VASP calculation (PBE) on a geometry-optimized Ca2PrS4 structure.

size of the total moment	1.38	μB/cell
volume	24.7	Å³ per atom
calculated total energy	-75.570	eV per cell
Fermi-level density of states	1.6	states/eV/f.u.
formation energy (no corrections)	-1785	meV per atom

Cell and atoms, written as POSCAR:
```
Ca2PrS4
1.0
2.0245 -6.8494 0.0000
2.0245 6.8494 0.0000
0.0000 0.0000 12.4861
Ca Pr S
4 2 8
Cartesian
2.0245 5.0940 7.0491
2.0245 5.0940 11.6800
2.0245 -5.0940 0.8061
2.0245 -5.0940 5.4369
2.0245 1.4562 9.3645
2.0245 -1.4562 3.1215
2.0245 6.4285 9.3645
2.0245 3.7027 1.6817
2.0245 3.7027 4.5613
2.0245 0.0000 0.0000
2.0245 0.0000 6.2430
2.0245 -3.7027 7.9247
2.0245 -3.7027 10.8044
2.0245 -6.4285 3.1215
```

---

Record 3
VASP calculation (PBE) on a geometry-optimized CaPr2S3 structure.

size of the total moment	0.00	μB/cell
volume	24.0	Å³ per atom
calculated total energy	-36.211	eV per cell
Fermi-level density of states	2.0	states/eV/f.u.
formation energy (no corrections)	-2045	meV per atom

Cell and atoms, written as POSCAR:
```
CaPr2S3
1.0
-2.0241 2.8855 6.1735
2.0241 -2.8855 6.1735
2.0241 2.8855 -6.1735
Ca Pr S
1 2 3
Cartesian
0.0000 0.0000 0.0000
0.0000 0.0000 4.1066
0.0000 0.0000 8.2405
2.0241 0.0000 1.9775
0.0000 2.8855 0.0000
0.0000 2.8855 4.1960
```

---

Record 4
VASP calculation (PBE) on a geometry-optimized CaPr5S6 structure.

size of the total moment	0.00	μB/cell
volume	24.2	Å³ per atom
calculated total energy	-75.040	eV per cell
Fermi-level density of states	4.7	states/eV/f.u.
formation energy (no corrections)	-2031	meV per atom

Cell and atoms, written as POSCAR:
```
CaPr5S6
1.0
3.5396 -6.1503 0.0000
3.5396 6.1503 0.0000
-2.3625 0.0000 6.6824
Ca Pr S
1 5 6
Cartesian
0.0000 0.0000 0.0000
2.3584 4.0838 3.3412
3.5396 2.0542 0.0000
2.3584 0.0000 3.3412
3.5396 -2.0542 0.0000
2.3584 -4.0838 3.3412
1.1527 2.0051 1.6438
-0.0576 0.0000 5.0423
1.1527 -2.0051 1.6438
3.5641 2.0051 5.0386
4.7744 0.0000 1.6401
3.5641 -2.0051 5.0386
```

---

Record 5
VASP calculation (PBE) on a geometry-optimized CaPr4S5 structure.

size of the total moment	0.00	μB/cell
volume	24.2	Å³ per atom
calculated total energy	-62.078	eV per cell
Fermi-level density of states	4.3	states/eV/f.u.
formation energy (no corrections)	-2032	meV per atom

Cell and atoms, written as POSCAR:
```
CaPr4S5
1.0
-4.5727 4.5727 2.8960
4.5727 -4.5727 2.8960
4.5727 4.5727 -2.8960
Ca Pr S
1 4 5
Cartesian
0.0000 0.0000 0.0000
5.4816 1.8159 0.0000
1.8159 3.6638 0.0000
2.7568 0.9089 2.8960
-0.9089 2.7568 2.8960
2.6788 0.8952 0.0000
3.6775 -1.8938 2.8960
0.0000 0.0000 2.8960
0.8952 6.4665 0.0000
1.8938 3.6775 2.8960
```

---

Record 6
VASP calculation (PBE) on a geometry-optimized CaPr4S7 structure.

size of the total moment	0.00	μB/cell
volume	25.9	Å³ per atom
calculated total energy	-74.440	eV per cell
formation energy (no corrections)	-2036	meV per atom

Cell and atoms, written as POSCAR:
```
CaPr4S7
1.0
6.7004 -2.0069 0.0000
6.7004 2.0069 0.0000
-3.1402 0.0000 11.5457
Ca Pr S
1 4 7
Cartesian
0.0000 0.0000 0.0000
0.2957 0.0000 4.8296
0.3920 0.0000 9.8155
3.7610 0.0000 7.2025
10.1950 0.0000 2.6143
-0.9764 0.0000 7.3342
1.5186 0.0000 2.3338
4.8336 0.0000 0.8307
4.9960 0.0000 4.3192
5.2507 0.0000 10.4869
8.9553 0.0000 5.4684
8.9878 0.0000 8.9405
```

---

Record 7
VASP calculation (PBE) on a geometry-optimized CaPrS structure.

size of the total moment	0.00	μB/cell
volume	26.7	Å³ per atom
calculated total energy	-27.587	eV per cell
Fermi-level density of states	3.6	states/eV/f.u.
formation energy (no corrections)	-962	meV per atom

Cell and atoms, written as POSCAR:
```
CaPrS
1.0
2.4804 1.4320 7.5123
-2.4804 1.4320 7.5123
0.0000 -2.8641 7.5123
Ca Pr S
2 2 2
Cartesian
0.0000 0.0000 2.8460
0.0000 0.0000 19.6909
0.0000 0.0000 8.5420
0.0000 0.0000 13.9950
0.0000 0.0000 5.6837
0.0000 0.0000 16.8532
```

---

Record 8
VASP calculation (PBE) on a geometry-optimized CaPr3S4 structure.

size of the total moment	0.00	μB/cell
volume	24.2	Å³ per atom
calculated total energy	-49.088	eV per cell
Fermi-level density of states	3.0	states/eV/f.u.
formation energy (no corrections)	-2030	meV per atom

Cell and atoms, written as POSCAR:
```
CaPr3S4
1.0
5.7857 0.0000 0.0000
0.0000 5.7857 0.0000
0.0000 0.0000 5.7857
Ca Pr S
1 3 4
Cartesian
0.0000 0.0000 0.0000
0.0000 2.8929 2.8929
2.8929 0.0000 2.8929
2.8929 2.8929 0.0000
0.0000 0.0000 2.8929
0.0000 2.8929 0.0000
2.8929 0.0000 0.0000
2.8929 2.8929 2.8929
```